# 1
# TeMo3As | Alexandria via LeMat-Bulk | GGA-PBEsol | optimized geometry
# - formation energy without anion corrections (eV per atom) = 1.166
data_TeMo3As
_chemical_formula_sum 'Te1 Mo3 As1'
_cell_length_a 4.624
_cell_length_b 4.624
_cell_length_c 4.624
_cell_angle_alpha 90.00
_cell_angle_beta 90.00
_cell_angle_gamma 90.00
_space_group_name_H-M_alt 'P m -3 m'
_space_group_IT_number 221
_space_group_name_Hall '-P 4 2 3'
loop_
_atom_site_label
_atom_site_fract_x
_atom_site_fract_y
_atom_site_fract_z
_atom_site_occupancy
Te1 0.000 0.000 0.000 1
Mo1 0.000 0.500 0.500 1
As1 0.500 0.500 0.500 1

# 2
# TiMo3As | Alexandria via LeMat-Bulk | GGA-PBEsol | optimized geometry
# - ΔE_f (eV/atom) = 1.04
data_TiMo3As
_chemical_formula_sum 'Ti1 Mo3 As1'
_cell_length_a 4.539
_cell_length_b 4.539
_cell_length_c 4.539
_cell_angle_alpha 90.00
_cell_angle_beta 90.00
_cell_angle_gamma 90.00
_space_group_name_H-M_alt 'P m -3 m'
_space_group_IT_number 221
_space_group_name_Hall '-P 4 2 3'
loop_
_atom_site_label
_atom_site_fract_x
_atom_site_fract_y
_atom_site_fract_z
_atom_site_occupancy
Ti1 0.000 0.000 0.000 1
Mo1 0.000 0.500 0.500 1
As1 0.500 0.500 0.500 1

# 3
# TiMoAs2 | Alexandria via LeMat-Bulk | GGA-PBEsol | optimized geometry
# - ΔE_f (eV/atom) = -0.64
# - energy above the most stable polymorph in this dataset (meV per atom) = 0
data_TiMoAs2
_chemical_formula_sum 'Ti2 Mo2 As4'
_cell_length_a 3.337
_cell_length_b 6.433
_cell_length_c 6.029
_cell_angle_alpha 90.00
_cell_angle_beta 90.00
_cell_angle_gamma 90.00
_space_group_name_H-M_alt 'P m c 21'
_space_group_IT_number 26
loop_
_space_group_symop_operation_xyz
'x,y,z'
'-x,-y,z+1/2'
'-x,y,z'
'x,-y,z+1/2'
loop_
_atom_site_label
_atom_site_fract_x
_atom_site_fract_y
_atom_site_fract_z
_atom_site_occupancy
Ti1 0.000 0.066 0.000 1
Mo1 0.500 0.438 0.013 1
As1 0.000 0.321 0.311 1
As2 0.500 0.185 0.697 1

> Which formula does entry 2 have?

TiMo3As